Entry 1:
Compound: FeCoP
Source: Alexandria via LeMat-Bulk
Functional: GGA-PBEsol
Structure: relaxed

Lattice parameters (Å, degrees): 5.5662 3.4836 6.4504 90.00 90.00 90.00
Space group Pnma (No. 62)
Asymmetric unit:
Fe (0.0307, 0.2500, 0.1649) [4 per cell]
Co (0.1411, 0.2500, 0.5660) [4 per cell]
P (0.2458, 0.7500, 0.3801) [4 per cell]

Calculated values
crystal system	orthorhombic
E_form	-0.638	eV per atom

***

Entry 2:
Compound: FeCoP2
Source: Alexandria via LeMat-Bulk
Functional: GGA-PBEsol
Structure: relaxed

Lattice parameters (Å, degrees): 3.0678 3.0678 4.5726 90.00 90.00 90.00
Space group P4mm (No. 99)
Asymmetric unit:
Fe (0.0000, 0.0000, 0.0000) [1 per cell]
Co (0.5000, 0.5000, 0.6455) [1 per cell]
P (0.0000, 0.0000, 0.5014) [1 per cell]
P (0.5000, 0.5000, 0.1568) [1 per cell]

Calculated values
crystal system	tetragonal
E_form	-0.511	eV per atom

***

Entry 3:
Compound: FeCoP
Source: Alexandria via LeMat-Bulk
Functional: GGA-PBEsol
Structure: relaxed

Lattice parameters (Å, degrees): 2.5916 2.5916 5.3449 90.00 90.00 120.00
Space group P3m1 (No. 156)
Asymmetric unit:
Fe (0.0000, 0.0000, 0.0000) [1 per cell]
Co (0.6667, 0.3333, 0.3785) [1 per cell]
P (0.3333, 0.6667, 0.6932) [1 per cell]

Calculated values
crystal system	trigonal
E_form	-0.157	eV per atom

***

Entry 4:
Compound: Fe2CoPb
Source: Alexandria via LeMat-Bulk
Functional: GGA-PBEsol
Structure: relaxed

Lattice parameters (Å, degrees): 2.9745 2.9745 23.4298 90.00 90.00 120.00
Space group R3m (No. 160, hexagonal axes)
Asymmetric unit:
Fe (0.0000, 0.0000, 0.0000) [3 per cell]
Fe (0.0000, 0.0000, 0.2602) [3 per cell]
Co (0.0000, 0.0000, 0.5220) [3 per cell]
Pb (0.0000, 0.0000, 0.7630) [3 per cell]

Calculated values
crystal system	trigonal
E_form	0.667	eV per atom

***

Entry 5:
Compound: FeCoPb
Source: Alexandria via LeMat-Bulk
Functional: GGA-PBEsol
Structure: relaxed

Lattice parameters (Å, degrees): 5.8130 5.8130 5.8130 90.00 90.00 90.00
Space group F-43m (No. 216)
Asymmetric unit:
Fe (0.0000, 0.0000, 0.0000) [4 per cell]
Co (0.2500, 0.2500, 0.2500) [4 per cell]
Pb (0.0000, 0.0000, 0.5000) [4 per cell]

Calculated values
crystal system	cubic
E_form	0.464	eV per atom

***

Entry 6:
Compound: FeCo2Pb
Source: Alexandria via LeMat-Bulk
Functional: GGA-PBEsol
Structure: relaxed

Lattice parameters (Å, degrees): 3.7078 3.7078 7.7721 90.00 90.00 90.00
Space group I-4m2 (No. 119)
Asymmetric unit:
Fe (0.0000, 0.0000, 0.0000) [2 per cell]
Co (0.0000, 0.0000, 0.5000) [2 per cell]
Co (0.0000, 0.5000, 0.7500) [2 per cell]
Pb (0.0000, 0.5000, 0.2500) [2 per cell]

Calculated values
crystal system	tetragonal
E_form	0.427	eV per atom

***

Entry 7:
Compound: PrFeCo4
Source: Alexandria via LeMat-Bulk
Functional: GGA-PBEsol
Structure: relaxed

Lattice parameters (Å, degrees): 4.9742 4.9742 3.8745 90.00 90.00 120.00
Space group P-6m2 (No. 187)
Asymmetric unit:
Pr (0.0000, 0.0000, 0.0000) [1 per cell]
Fe (0.6667, 0.3333, 0.0000) [1 per cell]
Co (0.0025, 0.5013, 0.5000) [3 per cell]
Co (0.3333, 0.6667, 0.0000) [1 per cell]

Calculated values
crystal system	hexagonal
E_form	0.004	eV per atom

***

Entry 8:
Compound: FeCoPt
Source: Alexandria via LeMat-Bulk
Functional: GGA-PBEsol
Structure: relaxed

Lattice parameters (Å, degrees): 5.5565 5.5565 5.5565 90.00 90.00 90.00
Space group F-43m (No. 216)
Asymmetric unit:
Fe (0.0000, 0.0000, 0.0000) [4 per cell]
Co (0.2500, 0.2500, 0.2500) [4 per cell]
Pt (0.2500, 0.2500, 0.7500) [4 per cell]

Calculated values
crystal system	cubic
E_form	0.352	eV per atom
E above lowest polymorph	393	meV/atom

***

Entry 9:
Compound: FeCo2Pt
Source: Alexandria via LeMat-Bulk
Functional: GGA-PBEsol
Structure: relaxed

Lattice parameters (Å, degrees): 3.6147 3.6147 7.2744 90.00 90.00 90.00
Space group I4/mmm (No. 139)
Asymmetric unit:
Fe (0.0000, 0.0000, 0.0000) [2 per cell]
Co (0.0000, 0.5000, 0.2500) [4 per cell]
Pt (0.0000, 0.0000, 0.5000) [2 per cell]

Calculated values
crystal system	tetragonal
E_form	-0.055	eV per atom

***

Entry 10:
Compound: FeCo2Pt
Source: Alexandria via LeMat-Bulk
Functional: GGA-PBEsol
Structure: relaxed

Lattice parameters (Å, degrees): 5.1384 7.1483 2.6038 90.00 90.00 90.00
Space group Cmmm (No. 65)
Asymmetric unit:
Fe (0.0000, 0.0000, 0.0000) [2 per cell]
Co (0.2500, 0.2500, 0.5000) [4 per cell]
Pt (0.0000, 0.5000, 0.0000) [2 per cell]

Calculated values
crystal system	orthorhombic
E_form	-0.017	eV per atom

***

Entry 11:
Compound: FeCo2Pt
Source: Alexandria via LeMat-Bulk
Functional: GGA-PBEsol
Structure: relaxed

Lattice parameters (Å, degrees): 2.5978 2.5978 24.8204 90.00 90.00 120.00
Space group R3m (No. 160, hexagonal axes)
Asymmetric unit:
Fe (0.0000, 0.0000, 0.0000) [3 per cell]
Co (0.0000, 0.0000, 0.2529) [3 per cell]
Co (0.0000, 0.0000, 0.5105) [3 per cell]
Pt (0.0000, 0.0000, 0.7551) [3 per cell]

Calculated values
crystal system	trigonal
E_form	0.049	eV per atom

***

Entry 12:
Compound: FeCoPt
Source: Alexandria via LeMat-Bulk
Functional: GGA-PBEsol
Structure: relaxed

Lattice parameters (Å, degrees): 2.6436 2.6436 6.2146 90.00 90.00 120.00
Space group P3m1 (No. 156)
Asymmetric unit:
Fe (0.0000, 0.0000, 0.0000) [1 per cell]
Co (0.6667, 0.3333, 0.3010) [1 per cell]
Pt (0.3333, 0.6667, 0.6515) [1 per cell]

Calculated values
crystal system	trigonal
E_form	0.026	eV per atom
E above lowest polymorph	67	meV/atom

***

Entry 13:
Compound: FeCo3Pt
Source: Alexandria via LeMat-Bulk
Functional: GGA-PBEsol
Structure: relaxed

Lattice parameters (Å, degrees): 4.4751 4.4751 4.4751 90.00 90.00 90.00
Space group Pm-3m (No. 221)
Asymmetric unit:
Fe (0.0000, 0.0000, 0.0000) [1 per cell]
Co (0.0000, 0.5000, 0.5000) [3 per cell]
Pt (0.5000, 0.5000, 0.5000) [1 per cell]

Calculated values
crystal system	cubic
E_form	1.694	eV per atom

***

Entry 14:
Compound: FeCoPt
Source: Alexandria via LeMat-Bulk
Functional: GGA-PBEsol
Structure: relaxed

Lattice parameters (Å, degrees): 2.6530 2.6530 10.5524 90.00 90.00 90.00
Space group I4mm (No. 107)
Asymmetric unit:
Fe (0.0000, 0.0000, 0.0000) [2 per cell]
Co (0.0000, 0.0000, 0.3514) [2 per cell]
Pt (0.0000, 0.0000, 0.6771) [2 per cell]

Calculated values
crystal system	tetragonal
E_form	-0.041	eV per atom
E above lowest polymorph	0	meV/atom

***

Entry 15:
Compound: FeCo2Pt
Source: Alexandria via LeMat-Bulk
Functional: GGA-PBEsol
Structure: relaxed

Lattice parameters (Å, degrees): 2.6044 3.5157 5.1978 90.00 90.00 90.00
Space group Pmmm (No. 47)
Asymmetric unit:
Fe (0.0000, 0.0000, 0.0000) [1 per cell]
Co (0.5000, 0.5000, 0.2306) [2 per cell]
Pt (0.0000, 0.0000, 0.5000) [1 per cell]

Calculated values
crystal system	orthorhombic
E_form	-0.022	eV per atom

***

Entry 16:
Compound: Fe2CoRe
Source: Alexandria via LeMat-Bulk
Functional: GGA-PBEsol
Structure: relaxed

Lattice parameters (Å, degrees): 2.5952 2.5952 24.3145 90.00 90.00 120.00
Space group R3m (No. 160, hexagonal axes)
Asymmetric unit:
Fe (0.0000, 0.0000, 0.0000) [3 per cell]
Fe (0.0000, 0.0000, 0.2526) [3 per cell]
Co (0.0000, 0.0000, 0.5070) [3 per cell]
Re (0.0000, 0.0000, 0.7521) [3 per cell]

Calculated values
crystal system	trigonal
E_form	0.180	eV per atom

***

Entry 17:
Compound: FeCo4Re
Source: Alexandria via LeMat-Bulk
Functional: GGA-PBEsol
Structure: relaxed

Lattice parameters (Å, degrees): 6.3919 6.3919 6.3919 90.00 90.00 90.00
Space group F-43m (No. 216)
Asymmetric unit:
Fe (0.0000, 0.0000, 0.0000) [4 per cell]
Co (0.1254, 0.1254, 0.6254) [16 per cell]
Re (0.2500, 0.2500, 0.2500) [4 per cell]

Calculated values
crystal system	cubic
E_form	0.126	eV per atom

***

Entry 18:
Compound: FeCoRe2
Source: Alexandria via LeMat-Bulk
Functional: GGA-PBEsol
Structure: relaxed

Lattice parameters (Å, degrees): 3.9654 2.6010 9.4989 90.00 90.00 90.00
Space group Amm2 (No. 38)
Asymmetric unit:
Fe (0.0000, 0.0000, 0.0000) [2 per cell]
Co (0.5000, 0.0000, 0.8687) [2 per cell]
Re (0.0000, 0.0000, 0.2687) [2 per cell]
Re (0.5000, 0.0000, 0.6004) [2 per cell]

Calculated values
crystal system	orthorhombic
E_form	-0.007	eV per atom

***

Entry 19:
Compound: FeCo2Re
Source: Alexandria via LeMat-Bulk
Functional: GGA-PBEsol
Structure: relaxed

Lattice parameters (Å, degrees): 5.7039 5.7039 5.7039 90.00 90.00 90.00
Space group Fm-3m (No. 225)
Asymmetric unit:
Fe (0.0000, 0.0000, 0.0000) [4 per cell]
Co (0.2500, 0.2500, 0.2500) [8 per cell]
Re (0.0000, 0.0000, 0.5000) [4 per cell]

Calculated values
crystal system	cubic
E_form	0.235	eV per atom
E above lowest polymorph	245	meV/atom

***

Entry 20:
Compound: FeCo2Re
Source: Alexandria via LeMat-Bulk
Functional: GGA-PBEsol
Structure: relaxed

Lattice parameters (Å, degrees): 3.5541 3.5541 7.0829 90.00 90.00 90.00
Space group I4/mmm (No. 139)
Asymmetric unit:
Fe (0.0000, 0.0000, 0.0000) [2 per cell]
Co (0.0000, 0.5000, 0.2500) [4 per cell]
Re (0.0000, 0.0000, 0.5000) [2 per cell]

Calculated values
crystal system	tetragonal
E_form	-0.010	eV per atom
E above lowest polymorph	0	meV/atom